1.
Ag4Pt7 | meta-GGA SCAN | single point on PBEsol structure

## Properties
Space group: No. 2
Volume: 169.6 Å³ per cell
E: -56.034 eV/atom
Magnetic moment: 0.00 μB/f.u.
Energy of formation from the pure elements: 0.04 eV per atom
Energy relative to the lowest polymorph listed for this composition: 44 meV per atom

Cell lengths 4.8179, 4.8691, 7.3804 Å; angles 89.82, 83.75, 80.19 degrees
Fractional coordinates of all 11 atoms:
Pt (0.2654, 0.4556, 0.9112)
Pt (0.6337, 0.7181, 0.4471)
Ag (0.0891, 0.8205, 0.6322)
Pt (0.8154, 0.3666, 0.7340)
Ag (0.5432, 0.9087, 0.8154)
Ag (0.9109, 0.1795, 0.3678)
Ag (0.4568, 0.0913, 0.1846)
Pt (0.0000, 0.0000, 0.0000)
Pt (0.1846, 0.6334, 0.2660)
Pt (0.3663, 0.2819, 0.5529)
Pt (0.7346, 0.5444, 0.0888)

=====

2.
ZrPWCl2 | meta-GGA SCAN | single point on PBEsol structure

## Properties
Space group: No. 123
Volume: 101.2 Å³ per cell
E: -24.899 eV/atom
Magnetic moment: 2.18 μB/f.u.

Cell lengths 4.5669, 4.5669, 4.8515 Å; angles 90.00, 90.00, 90.00 degrees
Site moments in Bohr magnetons follow the coordinates.
Fractional coordinates of all 5 atoms:
W (0.0000, 0.0000, 0.0000)  0.31
Cl (0.0000, 0.5000, 0.0000)  0.02
Cl (0.5000, 0.0000, 0.0000)  0.02
Zr (0.5000, 0.5000, 0.5000)  1.26
P (0.0000, 0.0000, 0.5000)  -0.05

=====

3.
ScCrO3 | meta-GGA SCAN | single point on PBEsol structure

## Properties
Space group: No. 62
Volume: 195.8 Å³ per cell
E: -13.485 eV/atom
Magnetic moment: 3.00 μB/f.u.

Cell lengths 4.9806, 5.3534, 7.3434 Å; angles 90.00, 90.00, 90.00 degrees
Site moments in Bohr magnetons follow the coordinates.
Fractional coordinates of all 20 atoms:
O (0.6834, 0.8090, 0.4300)  0.04
Cr (0.5000, 0.5000, 0.0000)  2.78
Sc (0.9722, 0.5764, 0.2500)  0.03
O (0.3623, 0.4430, 0.2500)  0.02
O (0.1377, 0.9430, 0.2500)  0.02
Sc (0.0278, 0.4236, 0.7500)  0.03
O (0.8623, 0.0570, 0.7500)  0.02
Cr (0.5000, 0.5000, 0.5000)  2.78
O (0.6377, 0.5570, 0.7500)  0.02
O (0.1834, 0.6910, 0.9300)  0.04
O (0.3166, 0.1910, 0.5700)  0.04
O (0.8166, 0.3090, 0.4300)  0.04
Cr (0.0000, 0.0000, 0.0000)  2.78
O (0.6834, 0.8090, 0.0700)  0.04
Cr (0.0000, 0.0000, 0.5000)  2.78
O (0.1834, 0.6910, 0.5700)  0.04
Sc (0.4722, 0.9236, 0.7500)  0.03
O (0.3166, 0.1910, 0.9300)  0.04
O (0.8166, 0.3090, 0.0700)  0.04
Sc (0.5278, 0.0764, 0.2500)  0.03

=====

4.
ZrZnTe2 | meta-GGA SCAN | single point on PBEsol structure

## Properties
Space group: No. 10
Volume: 88.7 Å³ per cell
E: -30.150 eV/atom
Magnetic moment: 0.00 μB/f.u.

Cell lengths 3.6212, 3.6409, 6.8162 Å; angles 99.06, 90.00, 90.00 degrees
Fractional coordinates of all 4 atoms:
Zn (0.5000, 0.5000, 0.5000)
Te (0.0000, 0.0724, 0.2410)
Te (0.0000, 0.9276, 0.7590)
Zr (0.5000, 0.5000, 0.0000)